No. 1
The following is a DFT calculation (PBE) of crystalline SnPb3 at its relaxed geometry.

The structure in POSCAR format:
```
SnPb3
1.0
-2.095 3.249 -5.724
-4.634 -2.935 4.198
-0.455 5.097 3.060
Sn Pb
2 6
Direct
0.333 0.667 0.750 Sn
0.667 0.333 0.250 Sn
0.168 0.336 0.250 Pb
0.664 0.832 0.250 Pb
0.168 0.832 0.250 Pb
0.832 0.664 0.750 Pb
0.336 0.168 0.750 Pb
0.832 0.168 0.750 Pb
```

Crystal system = hexagonal
Energy above the most stable polymorph in this dataset = 25.3 meV/atom
DFT formation energy = 0.0409 eV/atom

***

No. 2
The following is a DFT calculation (PBE) of crystalline Tb6GaCu2 at its relaxed geometry.

The structure in POSCAR format:
```
Tb6GaCu2
1.0
-8.113 0.923 -2.200
1.632 -7.682 3.137
1.879 5.590 6.061
Tb Ga Cu
12 2 4
Direct
0.545 0.725 0.820 Tb
0.455 0.275 0.180 Tb
0.095 0.275 0.820 Tb
0.905 0.725 0.180 Tb
0.808 0.759 0.567 Tb
0.192 0.241 0.433 Tb
0.192 0.759 0.951 Tb
0.808 0.241 0.049 Tb
0.698 0.374 0.675 Tb
0.302 0.626 0.325 Tb
0.302 0.977 0.675 Tb
0.698 0.023 0.325 Tb
0.000 0.500 0.500 Ga
0.000 0.000 0.000 Ga
0.500 0.379 0.879 Cu
0.500 0.621 0.121 Cu
0.653 0.000 0.653 Cu
0.347 0.000 0.347 Cu
```

Crystal system = orthorhombic
DFT formation energy = -0.2359 eV/atom

***

No. 3
The following is a DFT calculation (PBE) of crystalline KCu4As at its relaxed geometry.

The structure in POSCAR format:
```
KCu4As
1.0
0.000 3.645 3.645
3.645 0.000 3.645
3.645 3.645 0.000
K Cu As
1 4 1
Direct
0.750 0.750 0.750 K
0.876 0.375 0.375 Cu
0.375 0.375 0.876 Cu
0.375 0.876 0.375 Cu
0.375 0.375 0.375 Cu
0.000 0.000 0.000 As
```

Crystal system = cubic
DFT formation energy = 0.2352 eV/atom

***

No. 4
The following is a DFT calculation (PBE) of crystalline Li2YMgGe2 at its relaxed geometry.

The structure in POSCAR format:
```
Li2YMgGe2
1.0
4.389 0.000 0.000
-2.195 3.801 0.000
0.000 0.000 6.698
Li Y Mg Ge
2 1 1 2
Direct
0.333 0.667 0.682 Li
0.667 0.333 0.318 Li
0.000 0.000 0.000 Y
0.000 0.000 0.500 Mg
0.333 0.667 0.248 Ge
0.667 0.333 0.752 Ge
```

Crystal system = trigonal
DFT formation energy = -0.5252 eV/atom

***

Q: Which value of DFT formation energy does entry 2 give?
A: -0.2359 eV/atom